Record 1
BaLaBr2: optimized geometry, PBE.

Cell lengths 7.197, 7.197, 8.854 Å; angles 66.02, 66.02, 90.00 degrees
Sites, in units of the cell vectors:
Ba1 0.500 0.500 0.000
Ba2 0.250 0.750 0.500
Br1 0.655 0.125 0.250
Br2 0.095 0.625 0.250
Br3 0.375 0.345 0.750
Br4 0.875 0.905 0.750
La1 0.000 0.000 0.000
La2 0.750 0.250 0.500

E_form (uncorrected) = -1.07 eV/atom
VASP energy = -3.623 eV/atom

=====

Record 2
Tc2NiAg: optimized geometry, PBE.

Cell lengths 3.692, 3.694, 4.196 Å; angles 90.00, 90.00, 90.00 degrees
Sites, in units of the cell vectors:
Ag1 0.500 0.000 0.500
Ni1 0.000 0.500 0.500
Tc1 0.000 0.000 0.000
Tc2 0.500 0.500 0.000

E_form = 0.406 eV per atom
VASP energy = -6.935 eV/atom